Computed, not measured: crystalline Na3GaSn3Se8 at its relaxed geometry at the PBE-GGA level of DFT.

Structure (POSCAR):
```
Na3GaSn3Se8
1.0
-0.265 -7.935 0.168
1.471 4.065 6.658
-8.031 0.202 -3.084
Se Na Sn Ga
8 3 3 1
direct
0.242 0.016 0.289 Se
0.227 0.455 0.711 Se
0.758 0.984 0.711 Se
0.773 0.545 0.289 Se
0.774 0.016 0.289 Se
0.743 0.486 0.728 Se
0.226 0.984 0.711 Se
0.257 0.514 0.272 Se
0.000 0.500 0.000 Na
0.500 0.500 0.000 Na
0.000 0.000 0.000 Na
0.500 0.000 0.500 Sn
0.500 0.500 0.500 Sn
0.000 0.500 0.500 Sn
0.000 0.000 0.500 Ga
```

Summary:
**E_tot**: -3.7591 eV per atom
**Space group**: C2/m, No. 12
**Formation energy without anion corrections**: -634 meV per atom
**Crystal system**: monoclinic